## InHgBiAu (PBE)

Data for a relaxed InHgBiAu crystal.

Unit cell a=5.218 b=5.218 c=5.218 alpha=60.00 beta=60.00 gamma=60.00
Positions (direct):
1 Bi 0.750 0.750 0.750
2 Hg 0.500 0.500 0.500
3 In 0.250 0.250 0.250
4 Au 0.000 0.000 0.000

## K2Hg6BiAu (PBE)

Data for a relaxed K2Hg6BiAu crystal.

Unit cell a=8.253 b=8.215 c=9.949 alpha=90.00 beta=90.00 gamma=90.00
Positions (direct):
1 Hg 0.181 0.614 0.000
2 K 0.500 0.743 0.284
3 Bi 0.500 0.451 0.000
4 Hg 0.500 0.199 0.768
5 Bi 0.000 0.549 0.500
6 K 0.000 0.257 0.784
7 K 0.000 0.257 0.216
8 Hg 0.319 0.386 0.500
9 K 0.500 0.743 0.716
10 Hg 0.819 0.614 0.000
11 Hg 0.000 0.801 0.268
12 Hg 0.681 0.386 0.500
13 Hg 0.500 0.199 0.232
14 Hg 0.000 0.801 0.732
15 Hg 0.824 0.989 0.500
16 Au 0.000 0.930 0.000
17 Hg 0.676 0.011 0.000
18 Hg 0.176 0.989 0.500
19 Hg 0.324 0.011 0.000
20 Au 0.500 0.070 0.500

## K4Hg2Bi2Au (PBE)

Data for a relaxed K4Hg2Bi2Au crystal.

Unit cell a=6.289 b=7.988 c=7.988 alpha=64.72 beta=81.37 gamma=81.37
Positions (direct):
1 Hg 0.772 0.364 0.364
2 K 0.257 0.127 0.635
3 K 0.257 0.635 0.127
4 K 0.743 0.873 0.365
5 K 0.743 0.365 0.873
6 Bi 0.201 0.172 0.172
7 Bi 0.799 0.828 0.828
8 Au 0.500 0.000 0.000
9 Hg 0.228 0.636 0.636

## KHgBi2Au2 (PBE)

Data for a relaxed KHgBi2Au2 crystal.

Unit cell a=5.030 b=7.747 c=10.016 alpha=90.00 beta=90.00 gamma=90.00
Positions (direct):
1 Au 0.500 0.765 0.309
2 Bi 0.000 0.408 0.705
3 K 0.000 0.000 0.500
4 Bi 0.500 0.092 0.205
5 Hg 0.000 0.000 0.000
6 Hg 0.500 0.500 0.500
7 Bi 0.000 0.592 0.295
8 Au 0.000 0.735 0.809
9 K 0.500 0.500 0.000
10 Bi 0.500 0.908 0.795
11 Au 0.000 0.265 0.191
12 Au 0.500 0.235 0.691

no.,V (Å³/f.u.),calculated formation energy (eV per formula unit)
1,100.49,0.3
2,337.29,-1.4
3,357.07,-2.6
4,195.14,-0.5